1.
First-principles (PBE) data for an optimized crystal structure of Tb12Ho5Th2, as listed in Alexandria.

## Properties
As for the space-group type: No. 2.

Unit cell a=6.1677 b=9.4016 c=11.7734 alpha=117.08 beta=94.94 gamma=83.70
Last column: nearest neighbours and their distance in Å.
Fractional coordinates of all 19 atoms:
Tb  0.1035  0.1558  0.2862  6 Tb 3.51-3.59, 2 Th 3.52, 4 Ho 3.53-3.58
Tb  0.6842  0.5235  0.1320  4 Ho 3.52-3.59, 1 Th 3.54, 7 Tb 3.54-3.60
Tb  0.8965  0.8442  0.7138  6 Tb 3.51-3.59, 2 Th 3.52, 4 Ho 3.53-3.58
Tb  0.4737  0.2102  0.5533  7 Tb 3.55-3.59, 5 Ho 3.55-3.56
Tb  0.0518  0.5814  0.3951  5 Ho 3.53-3.58, 7 Tb 3.54-3.59
Tb  0.7893  0.6887  0.9217  3 Th 3.50-3.55, 6 Tb 3.51-3.60, 3 Ho 3.55-3.60
Tb  0.3158  0.4765  0.8680  4 Ho 3.52-3.59, 1 Th 3.54, 7 Tb 3.54-3.60
Tb  0.9482  0.4186  0.6049  5 Ho 3.53-3.58, 7 Tb 3.54-3.59
Tb  0.6302  0.9475  0.2346  2 Th 3.52-3.53, 6 Tb 3.52-3.58, 4 Ho 3.55-3.58
Tb  0.2107  0.3113  0.0783  3 Th 3.50-3.55, 6 Tb 3.51-3.60, 3 Ho 3.55-3.60
Tb  0.5263  0.7898  0.4467  7 Tb 3.55-3.59, 5 Ho 3.55-3.56
Tb  0.3698  0.0525  0.7654  2 Th 3.52-3.53, 6 Tb 3.52-3.58, 4 Ho 3.55-3.58
Th  0.2636  0.8962  0.9738  8 Tb 3.50-3.55, 2 Th 3.54-3.55, 2 Ho 3.54-3.55
Th  0.7364  0.1038  0.0262  8 Tb 3.50-3.55, 2 Th 3.54-3.55, 2 Ho 3.54-3.55
Ho  0.0000  0.0000  0.5000  10 Tb 3.53-3.58, 2 Ho 3.56
Ho  0.1590  0.7378  0.1834  10 Tb 3.53-3.60, 1 Th 3.54, 1 Ho 3.56
Ho  0.4199  0.6314  0.6579  10 Tb 3.52-3.58, 1 Th 3.55, 1 Ho 3.55
Ho  0.8410  0.2622  0.8166  10 Tb 3.53-3.60, 1 Th 3.54, 1 Ho 3.56
Ho  0.5801  0.3686  0.3422  10 Tb 3.52-3.58, 1 Th 3.55, 1 Ho 3.55



2.
First-principles (PBE) data for an optimized crystal structure of Tb12Ho5Th2, as listed in Alexandria.

## Properties
As for the space-group type: No. 12.

Unit cell a=9.3605 b=12.3514 c=8.5314 alpha=132.52 beta=90.00 gamma=112.27
Last column: nearest neighbours and their distance in Å.
Fractional coordinates of all 19 atoms:
Tb  0.5657  0.7471  0.4061  4 Ho 3.40-3.73, 6 Tb 3.42-3.80, 1 Th 3.56
Tb  0.9741  0.3071  0.0670  4 Tb 3.36-3.62, 1 Th 3.39, 4 Ho 3.50-3.71
Tb  0.6670  0.6929  0.9330  4 Tb 3.36-3.62, 1 Th 3.39, 4 Ho 3.50-3.71
Tb  0.1813  0.7471  0.4061  4 Ho 3.40-3.73, 6 Tb 3.42-3.80, 1 Th 3.56
Tb  0.3330  0.3071  0.0670  4 Tb 3.36-3.62, 1 Th 3.39, 4 Ho 3.50-3.71
Tb  0.5595  0.1190  0.7921  2 Ho 3.35-3.45, 2 Th 3.36, 7 Tb 3.42-3.53
Tb  0.0259  0.6929  0.9330  4 Tb 3.36-3.62, 1 Th 3.39, 4 Ho 3.50-3.71
Tb  0.0865  0.1729  0.2905  5 Tb 3.40-3.62, 2 Th 3.47, 3 Ho 3.48-3.51
Tb  0.4405  0.8810  0.2079  2 Ho 3.35-3.45, 2 Th 3.36, 7 Tb 3.42-3.53
Tb  0.4343  0.2529  0.5939  4 Ho 3.40-3.73, 6 Tb 3.42-3.80, 1 Th 3.56
Tb  0.9135  0.8271  0.7095  5 Tb 3.40-3.62, 2 Th 3.47, 3 Ho 3.48-3.51
Tb  0.8187  0.2529  0.5939  4 Ho 3.40-3.73, 6 Tb 3.42-3.80, 1 Th 3.56
Ho  0.2315  0.4629  0.8887  8 Tb 3.35-3.51, 2 Ho 3.65-3.66
Ho  0.0000  0.0000  0.5000  10 Tb 3.50-3.73, 2 Ho 3.66
Ho  0.3037  0.6074  0.6226  8 Tb 3.45-3.67, 2 Th 3.49, 1 Ho 3.65
Ho  0.6963  0.3926  0.3774  8 Tb 3.45-3.67, 2 Th 3.49, 1 Ho 3.65
Ho  0.7685  0.5371  0.1113  8 Tb 3.35-3.51, 2 Ho 3.65-3.66
Th  0.3227  0.0000  0.0000  1 Th 3.32, 8 Tb 3.36-3.56, 2 Ho 3.49
Th  0.6773  0.0000  0.0000  1 Th 3.32, 8 Tb 3.36-3.56, 2 Ho 3.49



In terms of stability, 1 leads; the second structure lies 0.127 eV/atom higher.



1.
First-principles (PBE) data for an optimized crystal structure of Tb3Ho4Th2, as listed in Alexandria.

## Properties
As for the space-group type: No. 12.

Unit cell a=3.5829 b=9.4864 c=9.4709 alpha=115.22 beta=100.90 gamma=90.00
Last column: nearest neighbours and their distance in Å.
Fractional coordinates of all 9 atoms:
Th  0.3321  0.9990  0.6643  5 Tb 3.47-3.60, 3 Ho 3.50-3.53, 4 Th 3.55-3.58
Th  0.6679  0.0010  0.3357  5 Tb 3.47-3.60, 3 Ho 3.50-3.53, 4 Th 3.55-3.58
Ho  0.5181  0.3327  0.0363  6 Tb 3.52-3.58, 5 Ho 3.52-3.59, 1 Th 3.53
Ho  0.4819  0.6673  0.9637  6 Tb 3.52-3.58, 5 Ho 3.52-3.59, 1 Th 3.53
Ho  0.1847  0.3309  0.3695  2 Th 3.50, 4 Tb 3.51-3.57, 6 Ho 3.55-3.59
Ho  0.8153  0.6691  0.6305  2 Th 3.50, 4 Tb 3.51-3.57, 6 Ho 3.55-3.59
Tb  0.1494  0.6710  0.2987  3 Th 3.47-3.49, 7 Ho 3.56-3.58, 2 Tb 3.58
Tb  0.8506  0.3290  0.7013  3 Th 3.47-3.49, 7 Ho 3.56-3.58, 2 Tb 3.58
Tb  0.0000  0.0000  0.0000  6 Ho 3.51-3.52, 2 Tb 3.58, 4 Th 3.60



2.
First-principles (PBE) data for an optimized crystal structure of Tb3Ho4Th2, as listed in Alexandria.

## Properties
As for the space-group type: No. 12.

Unit cell a=5.0369 b=7.9187 c=7.9510 alpha=107.43 beta=108.47 gamma=90.00
Last column: nearest neighbours and their distance in Å.
Fractional coordinates of all 9 atoms:
Ho  0.7780  0.6719  0.5561  3 Th 3.50-3.52, 4 Tb 3.53-3.62, 5 Ho 3.57-3.61
Ho  0.5553  0.3321  0.1106  6 Tb 3.55-3.60, 2 Th 3.55-3.56, 4 Ho 3.56-3.58
Ho  0.4447  0.6679  0.8894  6 Tb 3.55-3.60, 2 Th 3.55-3.56, 4 Ho 3.56-3.58
Ho  0.2220  0.3281  0.4439  3 Th 3.50-3.52, 4 Tb 3.53-3.62, 5 Ho 3.57-3.61
Tb  0.8871  0.3257  0.7743  3 Th 3.49-3.51, 2 Tb 3.51-3.64, 7 Ho 3.55-3.62
Tb  0.1129  0.6743  0.2257  3 Th 3.49-3.51, 2 Tb 3.51-3.64, 7 Ho 3.55-3.62
Tb  0.0000  0.0000  0.0000  2 Tb 3.51, 6 Ho 3.53-3.55, 4 Th 3.57
Th  0.3318  0.9998  0.6636  5 Tb 3.49-3.57, 5 Ho 3.50-3.56, 2 Th 3.53
Th  0.6682  0.0002  0.3364  5 Tb 3.49-3.57, 5 Ho 3.50-3.56, 2 Th 3.53



In terms of stability, 1 leads; the second structure lies 0.032 eV/atom higher.



1.
First-principles (PBE) data for an optimized crystal structure of Tb5Ho2Th4, as listed in Alexandria.

## Properties
As for the space-group type: No. 71.

Unit cell a=3.4973 b=9.3536 c=12.5390 alpha=111.90 beta=98.02 gamma=90.00
Last column: nearest neighbours and their distance in Å.
Fractional coordinates of all 11 atoms:
Th  0.0000  0.7039  0.0000  4 Tb 3.28-3.57, 6 Th 3.35-3.50
Th  0.0000  0.2961  0.0000  4 Tb 3.28-3.57, 6 Th 3.35-3.50
Th  0.4072  0.4072  0.8143  1 Ho 3.15, 6 Th 3.35-3.50, 4 Tb 3.52
Th  0.5928  0.5928  0.1857  1 Ho 3.15, 6 Th 3.35-3.50, 4 Tb 3.52
Tb  0.1511  0.9440  0.3022  3 Ho 3.36-3.72, 2 Tb 3.50, 3 Th 3.52-3.57
Tb  0.8489  0.0560  0.6978  3 Ho 3.36-3.72, 2 Tb 3.50, 3 Th 3.52-3.57
Tb  0.8489  0.6418  0.6978  3 Ho 3.36-3.72, 2 Tb 3.50, 3 Th 3.52-3.57
Tb  0.1511  0.3582  0.3022  3 Ho 3.36-3.72, 2 Tb 3.50, 3 Th 3.52-3.57
Tb  0.5000  0.0000  0.0000  4 Th 3.28, 2 Tb 3.50
Ho  0.7296  0.7296  0.4593  1 Th 3.15, 2 Tb 3.36, 2 Ho 3.50
Ho  0.2704  0.2704  0.5407  1 Th 3.15, 2 Tb 3.36, 2 Ho 3.50



2.
First-principles (PBE) data for an optimized crystal structure of Tb5Ho2Th4, as listed in Alexandria.

## Properties
As for the space-group type: No. 12.

Unit cell a=3.5783 b=8.6938 c=11.8406 alpha=104.50 beta=98.69 gamma=90.00
Last column: nearest neighbours and their distance in Å.
Fractional coordinates of all 11 atoms:
Tb  0.7735  0.1889  0.5471  3 Th 3.51-3.52, 7 Tb 3.58-3.66, 2 Ho 3.59
Tb  0.1368  0.0961  0.2737  3 Th 3.50-3.52, 7 Tb 3.58-3.63, 2 Ho 3.67
Tb  0.5000  0.0000  0.0000  4 Th 3.56, 6 Tb 3.58, 2 Ho 3.60
Tb  0.8632  0.9039  0.7263  3 Th 3.50-3.52, 7 Tb 3.58-3.63, 2 Ho 3.67
Tb  0.2265  0.8111  0.4529  3 Th 3.51-3.52, 7 Tb 3.58-3.66, 2 Ho 3.59
Th  0.0466  0.3641  0.0931  4 Ho 3.47-3.55, 3 Tb 3.52-3.56, 5 Th 3.56-3.60
Th  0.6822  0.4524  0.3644  5 Tb 3.50-3.52, 1 Ho 3.55, 6 Th 3.55-3.58
Th  0.9534  0.6359  0.9069  4 Ho 3.47-3.55, 3 Tb 3.52-3.56, 5 Th 3.56-3.60
Th  0.3178  0.5476  0.6356  5 Tb 3.50-3.52, 1 Ho 3.55, 6 Th 3.55-3.58
Ho  0.5888  0.7173  0.1776  5 Th 3.47-3.55, 2 Ho 3.58, 5 Tb 3.59-3.67
Ho  0.4112  0.2827  0.8224  5 Th 3.47-3.55, 2 Ho 3.58, 5 Tb 3.59-3.67



In terms of stability, 2 leads; the second structure lies 0.255 eV/atom higher.



1.
First-principles (PBE) data for an optimized crystal structure of Tb5HoTh2, as listed in Alexandria.

## Properties
As for the space-group type: No. 12.

Unit cell a=3.5815 b=10.0128 c=9.4144 alpha=122.13 beta=112.27 gamma=90.00
Last column: nearest neighbours and their distance in Å.
Fractional coordinates of all 8 atoms:
Tb  0.0000  0.5000  0.0000  2 Th 3.57, 10 Tb 3.58
Tb  0.2446  0.1217  0.7446  6 Tb 3.49-3.64, 4 Th 3.53-3.54, 2 Ho 3.57
Tb  0.7554  0.8783  0.2554  6 Tb 3.49-3.64, 4 Th 3.53-3.54, 2 Ho 3.57
Tb  0.7554  0.3771  0.2554  6 Tb 3.49-3.64, 4 Th 3.53-3.54, 2 Ho 3.57
Tb  0.2446  0.6229  0.7446  6 Tb 3.49-3.64, 4 Th 3.53-3.54, 2 Ho 3.57
Th  0.5001  0.2500  0.5000  9 Tb 3.53-3.57, 1 Ho 3.56, 2 Th 3.58
Th  0.4999  0.7500  0.5000  9 Tb 3.53-3.57, 1 Ho 3.56, 2 Th 3.58
Ho  0.0000  0.0000  0.0000  2 Th 3.56, 8 Tb 3.57, 2 Ho 3.58



2.
First-principles (PBE) data for an optimized crystal structure of Tb5HoTh2, as listed in Alexandria.

## Properties
As for the space-group type: No. 71.

Unit cell a=3.5190 b=8.8305 c=8.8305 alpha=78.69 beta=78.51 gamma=78.51
Last column: nearest neighbours and their distance in Å.
Fractional coordinates of all 8 atoms:
Th  0.7413  0.7587  0.7587  7 Tb 3.31-3.59, 2 Th 3.52, 2 Ho 3.64
Th  0.2587  0.2413  0.2413  7 Tb 3.31-3.59, 2 Th 3.52, 2 Ho 3.64
Ho  0.0000  0.0000  0.0000  2 Ho 3.52, 4 Th 3.64, 8 Tb 3.86
Tb  0.3697  0.3954  0.8652  3 Th 3.31-3.59, 7 Tb 3.44-3.63
Tb  0.6303  0.6046  0.1348  3 Th 3.31-3.59, 7 Tb 3.44-3.63
Tb  0.6303  0.1348  0.6046  3 Th 3.31-3.59, 7 Tb 3.44-3.63
Tb  0.3697  0.8652  0.3954  3 Th 3.31-3.59, 7 Tb 3.44-3.63
Tb  0.0000  0.5000  0.5000  2 Th 3.41, 10 Tb 3.52-3.60



In terms of stability, 1 leads; the second structure lies 0.063 eV/atom higher.



1.
First-principles (PBE) data for an optimized crystal structure of Tb3HoTh, as listed in Alexandria.

## Properties
As for the space-group type: No. 2.

Unit cell a=6.7590 b=11.1449 c=9.2232 alpha=145.83 beta=71.56 gamma=121.47
Last column: nearest neighbours and their distance in Å.
Fractional coordinates of all 10 atoms:
Tb  0.6047  0.6399  0.2887  7 Tb 3.50-3.64, 3 Th 3.54-3.60, 2 Ho 3.63
Tb  0.8028  0.2352  0.6841  7 Tb 3.50-3.63, 3 Th 3.53-3.66, 2 Ho 3.55-3.64
Tb  0.8029  0.5673  0.5165  4 Ho 3.51-3.62, 5 Tb 3.51-3.64, 3 Th 3.52-3.65
Tb  0.1972  0.7648  0.3159  7 Tb 3.50-3.63, 3 Th 3.53-3.66, 2 Ho 3.55-3.64
Tb  0.1971  0.4327  0.4835  4 Ho 3.51-3.62, 5 Tb 3.51-3.64, 3 Th 3.52-3.65
Tb  0.3953  0.3601  0.7113  7 Tb 3.50-3.64, 3 Th 3.54-3.60, 2 Ho 3.63
Th  0.0007  0.8252  0.0746  9 Tb 3.52-3.66, 3 Ho 3.54-3.59
Th  0.9993  0.1748  0.9254  9 Tb 3.52-3.66, 3 Ho 3.54-3.59
Ho  0.6036  0.9650  0.1135  8 Tb 3.51-3.64, 3 Th 3.54-3.59, 1 Ho 3.56
Ho  0.3964  0.0350  0.8865  8 Tb 3.51-3.64, 3 Th 3.54-3.59, 1 Ho 3.56



2.
First-principles (PBE) data for an optimized crystal structure of Tb3HoTh, as listed in Alexandria.

## Properties
As for the space-group type: No. 38.

Unit cell a=3.4107 b=8.6680 c=8.6680 alpha=136.62 beta=90.00 gamma=90.00
Last column: nearest neighbours and their distance in Å.
Fractional coordinates of all 5 atoms:
Th  0.0000  0.5755  0.4245  2 Th 3.41, 4 Ho 3.65, 4 Tb 3.81
Ho  0.5000  0.0525  0.9475  4 Tb 3.15-3.28, 2 Ho 3.41
Tb  0.5000  0.6258  0.8522  4 Tb 3.06-3.41, 1 Ho 3.15
Tb  0.5000  0.1478  0.3742  4 Tb 3.06-3.41, 1 Ho 3.15
Tb  0.0000  0.2265  0.7735  2 Ho 3.28, 6 Tb 3.41-3.45



In terms of stability, 1 leads; the second structure lies 0.381 eV/atom higher.